A plane-wave DFT calculation with GGA-PBE was carried out for an optimized crystal structure of Ac2Si3NiPt12.

Properties
Its uncorrected formation energy is -0.495 eV per atom. Its space group is R-3m (166). Its total energy is -111.7 eV per cell.

POSCAR file:
```
Ac2Si3NiPt12
1.0
7.8725 -0.1674 -0.1187
3.7423 6.9282 -0.1187
3.7423 2.1783 6.5779
Pt Ni Ac Si
12 1 2 3
Cartesian
3.7274 2.1697 4.1600
7.4671 4.3465 5.8134
7.4671 6.9234 2.1802
5.6492 5.8653 4.1602
11.6297 6.7694 2.1804
9.4786 7.9911 5.6680
3.7274 4.6434 0.6724
7.8900 4.5926 0.5270
7.8900 2.0157 4.1602
9.7079 3.0738 2.1802
11.6297 4.2957 5.6680
5.8785 0.9480 0.6724
0.0000 0.0000 0.0000
9.5584 5.5638 3.9463
5.7987 3.3753 2.3941
1.8712 3.4641 -0.0594
1.8712 1.0892 3.2889
3.9362 -0.0837 -0.0594
```

A plane-wave DFT calculation with GGA-PBE was carried out for an optimized crystal structure of GaAgSbI2.

Properties
Its uncorrected formation energy is 0.416 eV per atom. The calculation puts the offset from the most stable computed form at 119 meV/atom. Its space group is P4/mmm (123). Its total energy is -11.0 eV per cell.

POSCAR file:
```
GaAgSbI2
1.0
5.7221 0.0000 0.0000
0.0000 5.7221 0.0000
0.0000 0.0000 5.4050
I Ga Sb Ag
2 1 1 1
Cartesian
2.8610 0.0000 0.0000
0.0000 2.8610 0.0000
0.0000 0.0000 0.0000
0.0000 0.0000 2.7025
2.8610 2.8610 2.7025
```

A plane-wave DFT calculation with GGA-PBE was carried out for an optimized crystal structure of Cs2KTcPb.

Properties
As for the formation energy from the elements: 1.350 eV/atom. Its space group is P4/mmm (123). Its total energy is -10.1 eV per cell.

POSCAR file:
```
Cs2KTcPb
1.0
6.9130 0.0000 0.0000
0.0000 5.6761 0.0000
0.0000 0.0000 6.9130
Cs Pb K Tc
2 1 1 1
Cartesian
3.4565 0.0000 0.0000
0.0000 0.0000 3.4565
3.4565 2.8381 3.4565
0.0000 0.0000 0.0000
0.0000 2.8381 0.0000
```

A plane-wave DFT calculation with GGA-PBE was carried out for an optimized crystal structure of SbI2NF.

Properties
Its uncorrected formation energy is 0.771 eV per atom. The calculation puts the offset from the most stable computed form at 220 meV/atom. Its space group is P4/mmm (123). Its total energy is -13.6 eV per cell.

POSCAR file:
```
SbI2NF
1.0
5.9779 0.0000 0.0000
0.0000 5.9779 0.0000
0.0000 0.0000 4.2449
I Sb F N
2 1 1 1
Cartesian
0.0000 2.9889 0.0000
2.9889 0.0000 0.0000
0.0000 0.0000 2.1224
0.0000 0.0000 0.0000
2.9889 2.9889 2.1224
```

A plane-wave DFT calculation with GGA-PBE was carried out for an optimized crystal structure of Ce2HfAs3Rh4.

Properties
As for the formation energy from the elements: -0.947 eV/atom. Its space group is P-4m2 (115). Its total energy is -74.6 eV per cell.

POSCAR file:
```
Ce2HfAs3Rh4
1.0
4.1118 0.0000 0.0000
0.0000 4.1118 0.0000
0.0000 0.0000 11.1068
Rh As Ce Hf
4 3 2 1
Cartesian
0.0000 0.0000 0.0000
2.0559 0.0000 7.1726
0.0000 2.0559 3.9341
2.0559 2.0559 0.0000
2.0559 0.0000 9.6280
0.0000 0.0000 5.5534
0.0000 2.0559 1.4788
2.0559 0.0000 2.5374
0.0000 2.0559 8.5694
2.0559 2.0559 5.5534
```

A plane-wave DFT calculation with GGA-PBE was carried out for an optimized crystal structure of RbNa3Cl.

Properties
Its uncorrected formation energy is -0.512 eV per atom. The calculation puts the offset from the most stable computed form at 0 meV/atom. Its space group is Pm-3m (221). Its total energy is -9.3 eV per cell.

POSCAR file:
```
RbNa3Cl
1.0
5.9620 0.0000 0.0000
0.0000 5.9620 0.0000
0.0000 0.0000 5.9620
Na Rb Cl
3 1 1
Cartesian
0.0000 2.9810 0.0000
0.0000 0.0000 2.9810
2.9810 0.0000 0.0000
2.9810 2.9810 2.9810
0.0000 0.0000 0.0000
```

A plane-wave DFT calculation with GGA-PBE was carried out for an optimized crystal structure of Mn4InAs.

Properties
As for the formation energy from the elements: 0.363 eV/atom. Its space group is F-43m (216). Its total energy is -41.9 eV per cell.

POSCAR file:
```
Mn4InAs
1.0
0.2826 -3.8105 3.1407
-3.7741 -3.1739 0.3835
0.4577 -4.6082 -1.7375
Mn In As
4 1 1
Cartesian
-0.9086 -6.6517 -0.1992
-1.1375 -4.3467 0.6699
-3.0253 -5.9342 0.8618
-0.9962 -6.2527 2.2409
0.0000 0.0000 0.0000
-2.2753 -8.6945 1.3400
```

A plane-wave DFT calculation with GGA-PBE was carried out for an optimized crystal structure of ZrCr2Te.

Properties
Its uncorrected formation energy is 0.360 eV per atom. Its space group is R3m (160). Its total energy is -29.5 eV per cell.

POSCAR file:
```
ZrCr2Te
1.0
-0.7965 4.5343 6.8904
-3.3733 2.4742 7.1535
-0.3685 1.5005 8.1416
Te Zr Cr
1 1 2
Cartesian
-2.2912 4.2958 11.2003
-3.3707 6.3199 16.4778
-1.1877 2.2269 5.8062
-4.4962 8.4300 21.9795
```